No. 1
The following is a DFT calculation (PBE) of crystalline AlZn2Ga2 at its relaxed geometry.

a b c (Å): 4.2106 4.2106 6.4331
angles (deg): 70.90 70.90 60.00
Last column: nearest neighbours and their distance in Å.
Fractional positions:
Ga (0.4097, 0.4097, 0.7709)  3 Zn 2.73, 3 Al 2.79
Zn (0.1457, 0.1457, 0.5628)  3 Zn 2.54, 1 Al 2.60, 3 Ga 2.73
Zn (0.8543, 0.8543, 0.4372)  3 Zn 2.54, 1 Al 2.60, 3 Ga 2.73
Ga (0.5903, 0.5903, 0.2291)  3 Zn 2.73, 3 Al 2.79
Al (0.0000, 0.0000, 0.0000)  2 Zn 2.60, 6 Ga 2.79

Summary:
magnetic moment	0.0	μB/f.u.
energy	-0.17474	Ry per atom
Fermi-level density of states	2.3	states/eV/cell
energy of formation from the pure elements	91	meV/atom
energy above the most stable polymorph in this dataset	0	meV/atom

No. 2
The following is a DFT calculation (PBE) of crystalline Al2Zn2Ga at its relaxed geometry.

a b c (Å): 3.9212 3.9212 6.5516
angles (deg): 72.59 72.59 90.00
Last column: nearest neighbours and their distance in Å.
Fractional positions:
Al (0.7500, 0.2500, 0.5000)  4 Zn 2.63, 4 Al 2.77
Zn (0.3978, 0.3978, 0.2043)  1 Zn 2.43, 4 Al 2.63
Ga (0.0000, 0.0000, 0.0000)  8 Zn 3.03
Zn (0.6022, 0.6022, 0.7957)  1 Zn 2.43, 4 Al 2.63
Al (0.2500, 0.7500, 0.5000)  4 Zn 2.63, 4 Al 2.77

Summary:
magnetic moment	0.0	μB/f.u.
energy	-0.18356	Ry per atom
Fermi-level density of states	1.6	states/eV/cell
energy of formation from the pure elements	114	meV/atom
energy above the most stable polymorph in this dataset	43	meV/atom